The following is a DFT calculation (GGA+U) of a geometry-optimized TbTl2MoO8 structure.

Unit cell a=5.1016 b=5.1001 c=6.7372 alpha=90.00 beta=90.00 gamma=91.36
Site moments in Bohr magnetons follow the coordinates.
Positions (direct):
Tb  0.0000  0.0000  0.5000  0.02
Tl  0.5000  0.5000  0.7537  0.00
Tl  0.5000  0.5000  0.2463  0.00
Mo  0.0000  0.0000  0.0000  -0.10
O  0.1774  0.8223  0.2116  0.07
O  0.7178  0.7179  0.0000  0.17
O  0.8225  0.1777  0.2115  0.07
O  0.8226  0.1777  0.7884  0.07
O  0.2822  0.2821  0.0000  0.17
O  0.1775  0.8223  0.7885  0.07
O  0.6928  0.6935  0.5000  0.15
O  0.3072  0.3065  0.5000  0.15

D(E_F) ... 0.640 states/eV/atom
Theoretical density ... 7501 kg/m³
Crystal system ... orthorhombic
Total DFT energy (no corrections) ... -6.0927 eV per atom
Spin magnetization ... 1.006 μB per cell
Space group ... Cmmm